# GGA+U MgCoBiO4, relaxed
# DFT total energy: -5.7647 eV per atom
data_MgCoBiO4
_chemical_formula_sum 'Mg4 Co4 Bi4 O16'
_cell_length_a 6.279
_cell_length_b 6.617
_cell_length_c 8.935
_cell_angle_alpha 90.00
_cell_angle_beta 90.00
_cell_angle_gamma 90.00
_space_group_name_H-M_alt 'I m m a'
_space_group_IT_number 74
_space_group_name_Hall '-I 2b 2'
loop_
_atom_site_label
_atom_site_fract_x
_atom_site_fract_y
_atom_site_fract_z
_atom_site_occupancy
Mg1 0.000 0.250 0.130 1
Co1 0.250 0.250 0.750 1
Bi1 0.000 0.000 0.500 1
O1 0.000 0.021 0.751 1
O2 0.248 0.250 0.510 1